Entry from Alexandria via LeMat-Bulk: a relaxed InGa2Bi crystal (PBE).

```
InGa2Bi
1.0
0.000 3.678 3.678
3.678 0.000 3.678
3.678 3.678 0.000
Bi In Ga
1 1 2
Direct
0.500 0.500 0.500
0.000 0.000 0.000
0.750 0.750 0.750
0.250 0.250 0.250
```

Results
**Formation energy from the elements**: 59 meV per atom
**Space group**: Fm-3m
**Energy above the lowest structure with this stoichiometry**: 1 meV per atom

Entry from Alexandria via LeMat-Bulk: a relaxed La8Sm2Tm3 crystal (PBE).

```
La8Sm2Tm3
1.0
5.752 0.000 0.728
0.000 7.745 0.000
-1.297 -3.872 10.278
Sm La Tm
2 8 3
Direct
0.501 0.240 0.479
0.499 0.760 0.521
0.000 0.129 0.259
0.500 0.198 0.793
0.999 0.674 0.348
0.001 0.326 0.652
0.500 0.802 0.207
0.500 0.596 0.793
0.500 0.404 0.207
0.000 0.871 0.741
0.000 0.283 0.000
0.500 0.000 0.000
0.000 0.717 0.000
```

Results
**Formation energy from the elements**: 173 meV per atom
**Space group**: C2/m
**Energy above the lowest structure with this stoichiometry**: 22 meV per atom

Entry from Alexandria via LeMat-Bulk: a relaxed Ca4P6O19 crystal (PBE).

```
Ca4P6O19
1.0
6.955 -0.001 0.003
-0.300 9.282 0.025
-2.216 -4.376 12.011
O Ca P
38 8 12
Direct
0.988 0.231 0.790
0.427 0.626 0.350
0.784 0.736 0.371
0.714 0.903 0.165
0.663 0.382 0.905
0.573 0.374 0.650
0.896 0.903 0.701
0.822 0.033 0.559
0.950 0.409 0.321
0.305 0.815 0.915
0.490 0.402 0.139
0.868 0.570 0.847
0.166 0.722 0.547
0.609 0.277 0.281
0.132 0.430 0.153
0.178 0.967 0.441
0.997 0.882 0.057
0.648 0.868 0.878
0.104 0.097 0.299
0.834 0.278 0.453
0.337 0.618 0.095
0.385 0.215 0.463
0.352 0.132 0.122
0.615 0.785 0.537
0.432 0.977 0.318
0.291 0.476 0.552
0.012 0.769 0.210
0.568 0.023 0.682
0.763 0.648 0.035
0.286 0.097 0.835
0.050 0.591 0.679
0.237 0.352 0.965
0.216 0.264 0.629
0.391 0.723 0.719
0.695 0.185 0.085
0.003 0.118 0.943
0.510 0.598 0.861
0.709 0.524 0.448
0.899 0.351 0.665
0.356 0.868 0.123
0.809 0.995 0.368
0.028 0.183 0.148
0.972 0.817 0.852
0.191 0.005 0.632
0.101 0.649 0.335
0.644 0.132 0.877
0.714 0.540 0.908
0.732 0.946 0.625
0.536 0.240 0.150
0.268 0.054 0.375
0.629 0.672 0.417
0.286 0.460 0.092
0.371 0.328 0.583
0.878 0.809 0.120
0.464 0.760 0.850
0.207 0.628 0.622
0.793 0.372 0.378
0.122 0.191 0.880
```

Results
**E_form (uncorrected)**: -2.610 eV/atom
**Space group**: P-1

| no. | total magnetic moment (μB/atom) |
| --- | --- |
| 1 | 0.00 |
| 2 | 0.00 |
| 3 | 0.00 |